# 1
Computed, not measured: UFePtRh after structural relaxation at the PBE-GGA level of DFT.

Results
Size of the total moment = 0.68 μB/f.u.
Energy relative to the elements = -0.547 eV per atom
E_tot = -0.3246 Ha/atom

abc: 3.8618 4.0604 4.1046
angles: 90.00 90.00 90.00
Closest atoms and distances in Å follow each position.
Space group Pmmm (No. 47)
Unique sites:
U  0.0000  0.0000  0.0000 (multiplicity 1)  4 Fe 2.80, 4 Rh 2.82, 4 Pt 2.89
Fe  0.5000  0.5000  0.0000 (multiplicity 1)  4 U 2.80, 4 Pt 2.82, 4 Rh 2.89
Pt  0.0000  0.5000  0.5000 (multiplicity 1)  4 Rh 2.80, 4 Fe 2.82, 4 U 2.89
Rh  0.5000  0.0000  0.5000 (multiplicity 1)  4 Pt 2.80, 4 U 2.82, 4 Fe 2.89

***

# 2
Computed, not measured: V2FePtRh5 after structural relaxation at the PBE-GGA level of DFT.

Results
Size of the total moment = 3.49 μB/f.u.
Energy relative to the elements = 0.167 eV per atom
E_tot = -0.2777 Ha/atom

abc: 7.0120 7.0120 11.0247
angles: 90.00 90.00 90.00
Closest atoms and distances in Å follow each position.
Space group I4/mcm (No. 140)
Unique sites:
V  0.1109  0.3891  0.0000 (multiplicity 8)  1 V 2.20, 2 Rh 2.23
Fe  0.0000  0.0000  0.2500 (multiplicity 4)  10 Rh 2.76-2.83
Pt  0.0000  0.5000  0.2500 (multiplicity 4)  4 Rh 2.53
Rh  0.0000  0.0000  0.0000 (multiplicity 4)  2 Fe 2.76, 4 V 2.84, 8 Rh 2.88
Rh  0.2175  0.2825  0.3699 (multiplicity 16)  1 V 2.23